VASP calculation (PBE) on a relaxed structure of TiMo.

The space group is I4/mmm (No. 139) and the conventional cell measures 7.6862, 7.6862 and 4.6985 Å, with angles of 90.00, 90.00 and 90.00 degrees. The asymmetric unit holds Ti at (0.0000, 0.3077, 0.0000) and Mo at (0.1657, 0.1657, 0.5000).

The volume is 17.3 A^3/atom. Its total energy is -9.18 eV per atom. The formation energy is 0.18 eV/atom.

---

VASP calculation (PBE) on a relaxed structure of TiMo.

The space group is P2_1/m (No. 11) and the conventional cell measures 2.8121, 4.5458 and 5.1632 Å, with angles of 90.00, 103.07 and 90.00 degrees. The asymmetric unit holds Ti at (0.1499, 0.2500, 0.3733) and Mo at (0.3962, 0.7500, 0.1198).

The volume is 16.1 A^3/atom. Its total energy is -9.47 eV per atom. The formation energy is -0.10 eV/atom.

---

VASP calculation (PBE) on a relaxed structure of Ti5Mo3.

The space group is Pmm2 (No. 25) and the conventional cell measures 3.1852, 6.3658 and 6.4781 Å, with angles of 90.00, 90.00 and 90.00 degrees. The asymmetric unit holds Ti at (0.0000, 0.0000, 0.0000), Ti at (0.0000, 0.0000, 0.4597), Ti at (0.0000, 0.5000, 0.4586), Ti at (0.5000, 0.2628, 0.7356), Mo at (0.0000, 0.5000, 0.9823) and Mo at (0.5000, 0.2528, 0.2215).

The volume is 16.4 A^3/atom. Its total energy is -9.06 eV per atom. The formation energy is -0.06 eV/atom.

---

VASP calculation (PBE) on a relaxed structure of TiMo5.

The space group is C2/m (No. 12) and the conventional cell measures 9.4883, 4.4705 and 5.4528 Å, with angles of 90.00, 125.08 and 90.00 degrees. The asymmetric unit holds Ti at (0.0000, 0.0000, 0.0000), Mo at (0.0000, 0.0000, 0.5000), Mo at (0.1641, 0.5000, 0.8349) and Mo at (0.1697, 0.5000, 0.3373).

The volume is 15.8 A^3/atom. Its total energy is -10.48 eV per atom. The formation energy is -0.14 eV/atom. As for the energy above the most stable polymorph in this dataset: 1 meV/atom.

---

VASP calculation (PBE) on a relaxed structure of Ti4Mo.

The space group is P2_1/m (No. 11) and the conventional cell measures 4.6978, 4.4006 and 8.3736 Å, with angles of 90.00, 105.57 and 90.00 degrees. The asymmetric unit holds Ti at (0.0095, 0.2500, 0.1010), Ti at (0.1956, 0.7500, 0.2918), Ti at (0.2311, 0.2500, 0.5033), Ti at (0.4050, 0.2500, 0.8901) and Mo at (0.3639, 0.7500, 0.6944).

The volume is 16.7 A^3/atom. Its total energy is -8.48 eV per atom. The formation energy is 0.00 eV/atom. As for the energy above the most stable polymorph in this dataset: 44 meV/atom.

---

VASP calculation (PBE) on a relaxed structure of Ti3Mo2.

The space group is I4/mmm (No. 139) and the conventional cell measures 3.2276, 3.2276 and 15.6214 Å, with angles of 90.00, 90.00 and 90.00 degrees. The asymmetric unit holds Ti at (0.0000, 0.0000, 0.0000), Ti at (0.0000, 0.0000, 0.1908) and Mo at (0.0000, 0.0000, 0.3974).

The volume is 16.3 A^3/atom. Its total energy is -9.13 eV per atom. The formation energy is -0.06 eV/atom. As for the energy above the most stable polymorph in this dataset: 0 meV/atom.